# 1
Material: RbTbUS4
Method: DFT, GGA-PBE
State: relaxed Values from VASP.

- symmetry = Imma
- total DFT energy (no corrections) (eV per atom) = -6.3511
- spin magnetization (Bohr magnetons per cell) = 4.0
- formation energy without anion corrections (eV/atom) = -1.5803

```
&SYSTEM
  ibrav = 0, nat = 14, ntyp = 4
/
ATOMIC_SPECIES
Rb 85.47 Rb.upf
Tb 158.93 Tb.upf
U 238.03 U.upf
S 32.06 S.upf
ATOMIC_POSITIONS angstrom
Rb 0.000 2.135 1.487
Rb 4.246 2.135 4.452
Tb 4.246 0.000 0.000
Tb 0.000 0.000 5.939
U 2.123 2.135 -2.970
U 2.123 -2.135 2.970
S 4.246 -0.415 2.768
S 4.246 3.855 -2.768
S 2.472 2.135 -0.286
S 6.019 2.135 -0.286
S -1.773 2.135 6.225
S 1.773 2.135 6.225
S 0.000 0.415 8.707
S 0.000 4.685 3.171
CELL_PARAMETERS angstrom
-4.246 4.270 5.939
4.246 -4.270 5.939
4.246 4.270 -5.939
```

---

# 2
Material: Rb2TbUS4
Method: DFT, GGA-PBE
State: relaxed Values from VASP.

- symmetry = P2/m
- total DFT energy (no corrections) (eV per atom) = -5.8801
- spin magnetization (Bohr magnetons per cell) = 3.0
- formation energy without anion corrections (eV/atom) = -1.5847

```
&SYSTEM
  ibrav = 0, nat = 8, ntyp = 4
/
ATOMIC_SPECIES
Rb 85.47 Rb.upf
Tb 158.93 Tb.upf
U 238.03 U.upf
S 32.06 S.upf
ATOMIC_POSITIONS angstrom
Rb 0.000 0.000 0.000
Rb 3.546 2.048 0.000
Tb -1.183 2.048 3.857
U 2.363 0.000 3.857
S 0.001 0.000 5.350
S 1.185 2.048 2.368
S 3.540 2.048 5.345
S 4.725 0.000 2.363
CELL_PARAMETERS angstrom
7.091 0.000 0.000
0.000 4.096 0.000
-2.366 0.000 7.714
```

---

# 3
Material: Rb2TbUS6
Method: DFT, GGA-PBE
State: relaxed Values from VASP.

- symmetry = P4/mnc
- total DFT energy (no corrections) (eV per atom) = -5.6091
- spin magnetization (Bohr magnetons per cell) = 0.0
- formation energy without anion corrections (eV/atom) = -1.3473

```
&SYSTEM
  ibrav = 0, nat = 20, ntyp = 4
/
ATOMIC_SPECIES
Rb 85.47 Rb.upf
Tb 158.93 Tb.upf
U 238.03 U.upf
S 32.06 S.upf
ATOMIC_POSITIONS angstrom
Rb 0.000 3.719 2.629
Rb 0.000 3.719 7.888
Rb 3.719 0.000 2.629
Rb 3.719 0.000 7.888
Tb 0.000 0.000 0.000
Tb 3.719 3.719 5.259
U 0.000 0.000 5.259
U 3.719 3.719 0.000
S 0.000 0.000 2.716
S 0.000 0.000 7.801
S 1.792 1.803 5.259
S 1.803 5.645 5.259
S 1.916 1.927 0.000
S 1.927 5.521 0.000
S 3.719 3.719 2.542
S 3.719 3.719 7.975
S 5.511 1.916 0.000
S 5.521 5.511 0.000
S 5.635 1.792 5.259
S 5.645 5.635 5.259
CELL_PARAMETERS angstrom
7.438 0.000 0.000
0.000 7.438 0.000
0.000 0.000 10.517
```

---

# 4
Material: Rb3Tb3VS8
Method: DFT, GGA-PBE
State: relaxed Values from VASP.

- symmetry = R-3m
- total DFT energy (no corrections) (eV per atom) = -5.5093
- spin magnetization (Bohr magnetons per cell) = 1.0
- formation energy without anion corrections (eV/atom) = -1.5806

```
&SYSTEM
  ibrav = 0, nat = 15, ntyp = 4
/
ATOMIC_SPECIES
Rb 85.47 Rb.upf
Tb 158.93 Tb.upf
V 50.94 V.upf
S 32.06 S.upf
ATOMIC_POSITIONS angstrom
Rb -1.970 -1.137 7.840
Rb -1.970 1.137 15.680
Rb 0.000 2.274 7.840
Tb -3.939 0.000 11.760
Tb -1.970 1.137 3.920
Tb 1.970 1.137 3.920
V 0.000 0.000 11.760
S 0.000 0.000 5.444
S -1.778 -1.027 13.154
S 0.000 -2.053 10.367
S -1.778 1.027 10.367
S 1.778 -1.027 13.154
S 0.000 2.053 13.154
S 1.778 1.027 10.367
S 0.000 0.000 18.077
CELL_PARAMETERS angstrom
3.939 2.274 7.840
-3.939 2.274 7.840
0.000 -4.549 7.840
```

---

# 5
Material: Rb2TbVS4
Method: DFT, GGA-PBE
State: relaxed Values from VASP.

- symmetry = I-4
- total DFT energy (no corrections) (eV per atom) = -5.2906
- spin magnetization (Bohr magnetons per cell) = 2.0
- formation energy without anion corrections (eV/atom) = -1.2664

```
&SYSTEM
  ibrav = 0, nat = 8, ntyp = 4
/
ATOMIC_SPECIES
Rb 85.47 Rb.upf
Tb 158.93 Tb.upf
V 50.94 V.upf
S 32.06 S.upf
ATOMIC_POSITIONS angstrom
Rb 0.000 0.000 0.000
Rb 0.000 3.657 2.425
Tb 0.000 0.000 4.849
V 3.657 0.000 2.425
S 1.978 -1.112 3.555
S 2.545 1.679 1.294
S 1.679 4.769 -1.294
S 1.112 1.978 6.143
CELL_PARAMETERS angstrom
-3.657 3.657 4.849
3.657 -3.657 4.849
3.657 3.657 -4.849
```

---

# 6
Material: Rb3Tb2YS6
Method: DFT, GGA-PBE
State: relaxed Values from VASP.

- symmetry = C2/m
- total DFT energy (no corrections) (eV per atom) = -5.4727
- spin magnetization (Bohr magnetons per cell) = 0.0
- formation energy without anion corrections (eV/atom) = -1.8567

```
&SYSTEM
  ibrav = 0, nat = 12, ntyp = 4
/
ATOMIC_SPECIES
Rb 85.47 Rb.upf
Tb 158.93 Tb.upf
Y 88.91 Y.upf
S 32.06 S.upf
ATOMIC_POSITIONS angstrom
Rb 0.000 0.000 0.000
Rb 3.545 2.049 0.000
Rb 3.545 -2.049 0.000
Tb 2.363 4.094 3.846
Tb 2.363 -4.094 3.846
Y 2.363 0.000 3.846
S 1.184 2.043 2.365
S 0.004 0.000 5.328
S 1.184 -2.043 2.365
S 3.542 2.043 5.327
S 4.722 0.000 2.365
S 3.542 -2.043 5.327
CELL_PARAMETERS angstrom
3.545 -6.141 0.000
3.545 6.141 0.000
-2.365 0.000 7.692
```

---

# 7
Material: Rb2TbYS4
Method: DFT, GGA-PBE
State: relaxed Values from VASP.

- symmetry = P2/m
- total DFT energy (no corrections) (eV per atom) = -5.5497
- spin magnetization (Bohr magnetons per cell) = 0.0
- formation energy without anion corrections (eV/atom) = -1.8573

```
&SYSTEM
  ibrav = 0, nat = 8, ntyp = 4
/
ATOMIC_SPECIES
Rb 85.47 Rb.upf
Tb 158.93 Tb.upf
Y 88.91 Y.upf
S 32.06 S.upf
ATOMIC_POSITIONS angstrom
Rb 0.000 0.000 0.000
Rb 3.544 2.046 0.000
Tb -1.180 2.046 3.846
Y 2.364 0.000 3.846
S 0.005 0.000 5.327
S 1.187 2.046 2.367
S 3.541 2.046 5.325
S 4.723 0.000 2.365
CELL_PARAMETERS angstrom
7.088 0.000 0.000
0.000 4.092 0.000
-2.360 0.000 7.692
```

---

# 8
Material: Rb2TbZn2S4
Method: DFT, GGA-PBE
State: relaxed Values from VASP.

- symmetry = C2/m
- total DFT energy (no corrections) (eV per atom) = -4.0002
- spin magnetization (Bohr magnetons per cell) = 0.0
- formation energy without anion corrections (eV/atom) = -1.1532

```
&SYSTEM
  ibrav = 0, nat = 9, ntyp = 4
/
ATOMIC_SPECIES
Rb 85.47 Rb.upf
Tb 158.93 Tb.upf
Zn 65.41 Zn.upf
S 32.06 S.upf
ATOMIC_POSITIONS angstrom
Rb 1.867 0.000 0.444
Rb 10.937 0.000 7.027
Tb -1.582 0.000 3.736
Zn 3.551 0.000 3.582
Zn 9.253 0.000 3.889
S 0.763 0.000 5.235
S 5.199 0.000 5.292
S 7.605 0.000 2.180
S 12.041 0.000 2.236
CELL_PARAMETERS angstrom
7.984 -1.963 0.000
7.984 1.963 0.000
-3.164 0.000 7.471
```

---

# 9
Material: Rb5Tc2S6
Method: DFT, GGA-PBE
State: relaxed Values from VASP.

- symmetry = C2/c
- total DFT energy (no corrections) (eV per atom) = -4.6931
- spin magnetization (Bohr magnetons per cell) = 6.0
- formation energy without anion corrections (eV/atom) = -0.8212

```
&SYSTEM
  ibrav = 0, nat = 26, ntyp = 3
/
ATOMIC_SPECIES
Rb 85.47 Rb.upf
Tc 98.00 Tc.upf
S 32.06 S.upf
ATOMIC_POSITIONS angstrom
Rb 3.597 3.046 12.557
Rb 5.630 2.134 0.015
Rb 3.375 0.776 4.635
Rb 5.346 2.134 8.357
Rb 1.484 -0.776 13.006
Rb 7.601 0.776 3.736
Rb 3.739 -2.134 8.386
Rb 5.710 -0.776 12.107
Rb 3.455 -2.134 16.728
Rb 5.488 -3.046 4.186
Tc 1.274 1.202 9.496
Tc 3.165 -1.202 1.125
Tc 5.920 1.202 15.617
Tc 7.811 -1.202 7.246
S -0.498 0.381 10.689
S 1.235 0.627 7.291
S 1.393 -0.381 2.318
S -0.656 -0.627 15.662
S 3.180 0.439 10.461
S 5.071 -0.439 2.090
S 4.014 0.439 14.652
S 5.905 -0.439 6.281
S 9.741 0.627 1.081
S 7.692 0.381 14.425
S 7.850 -0.627 9.452
S 9.583 -0.381 6.054
CELL_PARAMETERS angstrom
6.433 -4.121 0.000
6.433 4.121 0.000
-3.782 0.000 16.742
```

---

# 10
Material: RbTc6S8
Method: DFT, GGA-PBE
State: relaxed Values from VASP.

- symmetry = R-3
- total DFT energy (no corrections) (eV per atom) = -7.0128
- spin magnetization (Bohr magnetons per cell) = 0.0
- formation energy without anion corrections (eV/atom) = -0.6006

```
&SYSTEM
  ibrav = 0, nat = 15, ntyp = 3
/
ATOMIC_SPECIES
Rb 85.47 Rb.upf
Tc 98.00 Tc.upf
S 32.06 S.upf
ATOMIC_POSITIONS angstrom
Rb 0.000 0.000 0.000
Tc -0.835 -1.273 4.772
Tc -0.685 1.359 4.772
Tc -1.519 0.087 6.941
Tc 1.519 -0.087 4.772
Tc 0.685 -1.359 6.941
Tc 0.835 1.273 6.941
S -2.815 0.185 4.841
S 0.000 0.000 2.991
S -1.567 -2.345 6.872
S 1.248 -2.530 4.841
S -1.248 2.530 6.872
S 1.567 2.345 4.841
S 0.000 0.000 8.722
S 2.815 -0.185 6.872
CELL_PARAMETERS angstrom
4.681 2.703 3.904
-4.681 2.703 3.904
0.000 -5.406 3.904
```

---

Question: Which of these has the highest total DFT energy (no corrections)?
Answer: Rb2TbZn2S4